# 1
Below is a relaxed structure of PmNd2MgTe5, with properties calculated at the GGA-PBE level.

Cell: 4.388 9.796 13.615 Å, 90.00 90.00 102.94°
Positions (direct):
Pm (0.795, 0.590, 0.510)
Pm (0.205, 0.410, 0.010)
Nd (0.134, 0.268, 0.302)
Nd (0.888, 0.776, 0.184)
Nd (0.866, 0.732, 0.802)
Nd (0.112, 0.224, 0.684)
Te (0.717, 0.433, 0.174)
Te (0.283, 0.567, 0.674)
Te (0.315, 0.630, 0.344)
Te (0.633, 0.265, 0.499)
Te (0.495, 0.990, 0.776)
Te (0.685, 0.370, 0.844)
Te (0.505, 0.010, 0.276)
Te (0.048, 0.096, 0.076)
Te (0.952, 0.904, 0.576)
Te (0.367, 0.735, 0.999)
Mg (0.551, 0.102, 0.957)
Mg (0.449, 0.898, 0.457)

Output
The energy relative to the elements, uncorrected is -1.250 eV/atom. Its space group is No. 36. For the density of states at the Fermi level, the calculation gives 1.99 states/eV/f.u. Its energy is -4.76 eV per atom.


# 2
Below is a relaxed structure of CaPrNi, with properties calculated at the GGA-PBE level.

Cell: 3.850 7.067 7.520 Å, 117.99 104.82 90.00°
Positions (direct):
Pr (0.405, 0.090, 0.929)
Pr (0.405, 0.568, 0.929)
Ni (0.008, 0.432, 0.134)
Ni (0.803, 0.227, 0.724)
Ca (0.133, 0.057, 0.384)
Ca (0.678, 0.601, 0.474)

Output
Its formation energy is -0.1201 eV/atom. The value obtained for the relative energy among the computed polymorphs is 11 kJ/mol of formula units. Its space group is No. 44. For the density of states at the Fermi level, the calculation gives 3.04 states/eV/f.u. Its energy is -4.31 eV per atom.


# 3
Below is a relaxed structure of K2NpTlBr8, with properties calculated at the GGA-PBE level.

Cell: 7.310 7.049 9.953 Å, 90.02 89.95 94.13°
Site moments in Bohr magnetons follow the coordinates.
Positions (direct):
Tl (0.000, 0.000, 0.500)  0.00
K (0.500, 0.501, 0.245)  0.00
K (0.500, 0.499, 0.755)  0.00
Br (0.869, 0.220, 0.199)  -0.07
Br (0.675, 0.781, 0.999)  -0.06
Br (0.131, 0.780, 0.801)  -0.07
Br (0.325, 0.219, 0.001)  -0.06
Br (0.130, 0.779, 0.198)  -0.07
Br (0.870, 0.221, 0.802)  -0.07
Br (0.317, 0.292, 0.500)  0.03
Br (0.683, 0.708, 0.500)  0.03
Np (0.000, 0.000, 0.000)  2.96

Output
The energy relative to the elements, uncorrected is -1.232 eV/atom. Its space group is No. 2. For the density of states at the Fermi level, the calculation gives 12.67 states/eV/f.u. Its energy is -3.81 eV per atom.


# 4
Below is a relaxed structure of LaTcCl4, with properties calculated at the GGA-PBE level.

Cell: 5.896 5.896 5.896 Å, 60.00 60.00 60.00°
Site moments in Bohr magnetons follow the coordinates.
Positions (direct):
Cl (0.375, 0.375, 0.875)  0.22
Cl (0.875, 0.375, 0.375)  0.22
Cl (0.375, 0.875, 0.375)  0.22
Cl (0.375, 0.375, 0.375)  0.22
La (0.750, 0.750, 0.750)  0.13
Tc (0.000, 0.000, 0.000)  3.69

Output
The energy relative to the elements, uncorrected is 0.132 eV/atom. Its space group is No. 216. For the density of states at the Fermi level, the calculation gives 9.85 states/eV/f.u. Its energy is -3.65 eV per atom.